Density functional theory data (GGA-PBE) for a relaxed structure of CrAg2Cl.

It has space group I-4m2 (No. 119), with a = 4.780 Å, b = 4.780 Å, c = 6.739 Å, α = 90.00°, β = 90.00° and γ = 90.00°. Symmetry generates all atoms from Cr at (0.000, 0.000, 0.000), Ag at (0.000, 0.000, 0.500), Ag at (0.000, 0.500, 0.250) and Cl at (0.000, 0.500, 0.750).

The energy above the most stable polymorph in this dataset comes out at 303 meV/atom. The crystal system is tetragonal. The calculation puts the uncorrected energy at -31.421 eV per cell.